1.
The following is a PBE calculation of crystalline LiYCoAs2 at its relaxed geometry, from Alexandria via LeMat-Bulk.

SG: P4/mmm (123)

abc: 4.659 4.659 4.242
angles: 90.00 90.00 90.00
Sites, in units of the cell vectors:
Li (0.000, 0.000, 0.000)
Y (0.500, 0.500, 0.000)
Co (0.000, 0.000, 0.500)
As (0.000, 0.500, 0.500)
As (0.500, 0.000, 0.500)

***

2.
The following is a PBE calculation of crystalline Li6Sn3Hg2 at its relaxed geometry, from Alexandria via LeMat-Bulk.

SG: I4/mmm (139)

abc: 10.539 10.539 10.539
angles: 151.51 151.51 40.73
Sites, in units of the cell vectors:
Li (0.086, 0.586, 0.500)
Li (0.207, 0.207, 0.000)
Li (0.414, 0.914, 0.500)
Li (0.586, 0.086, 0.500)
Li (0.793, 0.793, 0.000)
Li (0.914, 0.414, 0.500)
Sn (0.350, 0.350, 0.000)
Sn (0.500, 0.500, 0.000)
Sn (0.650, 0.650, 0.000)
Hg (0.074, 0.074, 0.000)
Hg (0.926, 0.926, 0.000)

***

Table of density (g cm⁻³), in record order: 5.49; 4.99
Table of DFT formation energy (meV/atom), in record order: -348; -127